DFT (GGA-PBEsol) results for Li2CaRh after structural relaxation.

a = 4.107 Å, b = 4.107 Å, c = 5.009 Å
α = 114.20°, β = 114.20°, γ = 90.00°
Atoms (fractional coordinates):
Li (0.750, 0.250, 0.500)
Li (0.250, 0.750, 0.500)
Rh (0.500, 0.500, 0.000)
Ca (0.000, 0.000, 0.000)

Calculated values
density of states at the Fermi level	1.56	states/eV/f.u.
total DFT energy (no corrections)	-3.61	eV/atom
volume	68.8	Å³ per cell